Computed, not measured: a relaxed BaLa2CN crystal at the PBE-GGA level of DFT.

```
BaLa2CN
1.0
4.803 0.000 0.000
0.000 6.046 0.000
0.000 0.000 4.803
Ba C La N
1 1 2 1
Direct
0.500 0.500 0.500
0.000 0.500 0.000
0.000 0.000 0.500
0.500 0.000 0.000
0.000 0.000 0.000
```

Summary:
crystal system: tetragonal
symmetry: No. 123
formation energy without anion corrections: 3.57 eV per formula unit


Computed, not measured: a relaxed BaLa2C2N6 crystal at the PBE-GGA level of DFT.

```
BaLa2C2N6
1.0
-1.805 -6.446 0.722
3.741 -3.603 -2.263
0.678 -0.707 5.499
N C La Ba
6 2 2 1
Direct
0.408 0.665 0.834
0.138 0.529 0.732
0.131 0.923 0.668
0.862 0.471 0.268
0.592 0.335 0.166
0.869 0.077 0.332
0.227 0.709 0.746
0.773 0.291 0.254
0.832 0.383 0.773
0.168 0.617 0.227
0.500 0.000 0.500
```

Summary:
crystal system: triclinic
symmetry: No. 2
formation energy without anion corrections: -6.39 eV per formula unit


Computed, not measured: a relaxed BaLaC3N6 crystal at the PBE-GGA level of DFT.

```
BaLaC3N6
1.0
6.428 0.963 -0.969
1.002 6.422 0.969
-1.002 1.008 6.416
N La C Ba
6 1 3 1
Direct
0.939 0.372 0.932
0.476 0.834 0.172
0.628 0.068 0.939
0.932 0.061 0.628
0.172 0.524 0.166
0.166 0.828 0.476
0.052 0.948 0.052
0.552 0.951 0.055
0.055 0.448 0.049
0.049 0.945 0.552
0.552 0.448 0.552
```

Summary:
crystal system: trigonal
symmetry: No. 155
formation energy without anion corrections: -5.30 eV per formula unit


Computed, not measured: a relaxed Ba2LaCN crystal at the PBE-GGA level of DFT.

```
Ba2LaCN
1.0
6.463 0.000 0.000
0.000 4.326 0.000
0.000 0.000 6.463
La Ba C N
1 2 1 1
Direct
0.000 0.000 0.000
0.500 0.000 0.000
0.000 0.000 0.500
0.500 0.500 0.500
0.000 0.500 0.000
```

Summary:
crystal system: tetragonal
symmetry: No. 123
formation energy without anion corrections: 6.81 eV per formula unit


Computed, not measured: a relaxed BaLaC2O6 crystal at the PBE-GGA level of DFT.

```
BaLaC2O6
1.0
-2.986 -5.954 -0.789
3.853 0.134 -5.488
4.704 -1.169 5.331
Ba O C La
2 12 4 2
Direct
0.858 0.142 0.750
0.142 0.858 0.250
0.812 0.781 0.884
0.388 0.935 0.685
0.935 0.388 0.185
0.612 0.065 0.315
0.219 0.188 0.616
0.492 0.724 0.118
0.276 0.508 0.382
0.188 0.219 0.116
0.724 0.492 0.618
0.508 0.276 0.882
0.781 0.812 0.384
0.065 0.612 0.815
0.125 0.359 0.237
0.641 0.875 0.263
0.359 0.125 0.737
0.875 0.641 0.763
0.408 0.592 0.750
0.592 0.408 0.250
```

Summary:
crystal system: monoclinic
symmetry: No. 15
formation energy without anion corrections: -21.29 eV per formula unit


Computed, not measured: a relaxed BaLa2PtC crystal at the PBE-GGA level of DFT.

```
BaLa2PtC
1.0
5.674 0.000 0.000
0.000 3.969 0.000
0.000 0.000 5.674
C La Pt Ba
1 2 1 1
Direct
0.000 0.000 0.000
0.500 0.000 0.000
0.000 0.000 0.500
0.000 0.500 0.000
0.500 0.500 0.500
```

Summary:
crystal system: tetragonal
uncorrected energy: -5.42 eV/atom
symmetry: No. 123